(1)
A plane-wave DFT calculation with PBE was carried out for a relaxed Li2Hg4Pt crystal.

Cell: 5.711 5.711 5.711 Å, 113.88 113.88 100.97°
Fractional positions:
1 Li 0.000 0.500 0.500
2 Li 0.500 0.000 0.500
3 Hg 0.000 0.000 0.500
4 Hg 0.000 0.500 0.000
5 Hg 0.500 0.000 0.000
6 Hg 0.500 0.500 0.500
7 Pt 0.000 0.000 0.000

Properties
Space-group type ... No. 139
Calculated volume ... 20.15 A^3/atom
Crystal system ... tetragonal
Total moment ... 0.0 μB/f.u.



(2)
A plane-wave DFT calculation with PBE was carried out for a relaxed LiHg3Pt crystal.

Cell: 5.292 5.292 5.292 Å, 90.00 90.00 90.00°
Fractional positions:
1 Li 0.000 0.000 0.000
2 Hg 0.000 0.500 0.500
3 Hg 0.500 0.000 0.500
4 Hg 0.500 0.500 0.000
5 Pt 0.500 0.500 0.500

Properties
Space-group type ... No. 221
Calculated volume ... 29.64 A^3/atom
Relative energy among the computed polymorphs ... 0 meV/atom
Crystal system ... cubic
Total moment ... 0.0 μB/f.u.



(3)
A plane-wave DFT calculation with PBE was carried out for a relaxed LiHgPt crystal.

Cell: 4.978 4.978 4.978 Å, 145.76 133.01 59.41°
Fractional positions:
1 Li 0.000 0.000 0.000
2 Hg 0.676 0.676 0.000
3 Pt 0.351 0.351 0.000

Properties
Space-group type ... No. 44
Calculated volume ... 16.76 A^3/atom
Relative energy among the computed polymorphs ... 0 meV/atom
Crystal system ... orthorhombic
Total moment ... 0.0 μB/f.u.



Taking the records one at a time from the top gives formation energy values of -219 -21 -342 meV/atom.